Record 1
## ZnH3F (PBE)

Data for a relaxed ZnH3F crystal. Values from VASP.

## Properties
- Density of states at the Fermi level: 0.333 states/eV/atom
- Space-group type: Pm-3m (221)
- ΔE to the lowest computed polymorph: 1453.3 meV per atom
- Total energy: -1.82 eV/atom
- Theoretical density: 3.40 g/cm3

```
&SYSTEM
  ibrav = 0, nat = 5, ntyp = 3
/
ATOMIC_SPECIES
F 19.00 F.upf
H 1.01 H.upf
Zn 65.41 Zn.upf
ATOMIC_POSITIONS crystal
F 0.000 0.000 0.000
H 0.000 0.500 0.000
H 0.500 0.000 0.000
H 0.000 0.000 0.500
Zn 0.500 0.500 0.500
CELL_PARAMETERS angstrom
-0.405 -3.333 0.978
1.267 0.775 3.165
-3.234 0.721 1.118
```

Record 2
## AgAsIrSe2 (PBE)

Data for a relaxed AgAsIrSe2 crystal. Values from VASP.

## Properties
- Density of states at the Fermi level: 1.109 states/eV/atom
- Formation energy (no corrections): 1477.1 meV per atom
- Space-group type: P4/mmm (123)
- ΔE to the lowest computed polymorph: 905.9 meV per atom
- Total energy: -3.19 eV/atom
- Theoretical density: 7.50 g/cm3

```
&SYSTEM
  ibrav = 0, nat = 5, ntyp = 4
/
ATOMIC_SPECIES
Ag 107.87 Ag.upf
Ir 192.22 Ir.upf
Se 78.96 Se.upf
As 74.92 As.upf
ATOMIC_POSITIONS crystal
Ag 0.000 0.000 0.000
Ir 0.500 0.500 0.500
Se 0.500 0.000 0.000
Se 0.000 0.500 0.000
As 0.000 0.000 0.500
CELL_PARAMETERS angstrom
4.932 0.000 0.000
0.000 4.932 0.000
0.000 0.000 4.852
```

Record 3
## BeGa (PBE)

Data for a relaxed BeGa crystal. Values from VASP.

## Properties
- Density of states at the Fermi level: 0.169 states/eV/atom
- Calculated formation energy: 0.2172 eV/atom
- Space-group type: P2_1/m (11)
- ΔE to the lowest computed polymorph: 60.2 meV per atom
- Total energy: -3.16 eV/atom
- Theoretical density: 4.99 g/cm3

```
&SYSTEM
  ibrav = 0, nat = 4, ntyp = 2
/
ATOMIC_SPECIES
Ga 69.72 Ga.upf
Be 9.01 Be.upf
ATOMIC_POSITIONS crystal
Ga 0.709 0.250 0.304
Ga 0.291 0.750 0.696
Be 0.154 0.750 0.168
Be 0.846 0.250 0.832
CELL_PARAMETERS angstrom
-2.358 3.134 -0.467
-1.734 -1.501 -1.316
-1.256 -2.515 4.525
```

Record 4
## AcMgTlHg (PBE)

Data for a relaxed AcMgTlHg crystal. Values from VASP.

## Properties
- Density of states at the Fermi level: 0.392 states/eV/atom
- Calculated formation energy: -0.3681 eV/atom
- Space-group type: F-43m (216)
- Total energy: -2.46 eV/atom
- Theoretical density: 9.44 g/cm3

```
&SYSTEM
  ibrav = 0, nat = 4, ntyp = 4
/
ATOMIC_SPECIES
Mg 24.30 Mg.upf
Hg 200.59 Hg.upf
Ac 227.00 Ac.upf
Tl 204.38 Tl.upf
ATOMIC_POSITIONS crystal
Mg 0.000 0.000 0.000
Hg 0.250 0.250 0.250
Ac 0.500 0.500 0.500
Tl 0.750 0.750 0.750
CELL_PARAMETERS angstrom
5.466 0.000 0.000
2.733 4.733 0.000
2.733 1.578 4.463
```

Record 5
## CsHg2Cl (PBE)

Data for a relaxed CsHg2Cl crystal. Values from VASP.

## Properties
- Density of states at the Fermi level: 0.000 states/eV/atom
- Formation energy (no corrections): -781.2 meV per atom
- Space-group type: I-42d (122)
- ΔE to the lowest computed polymorph: 0.0 meV per atom
- Total energy: -1.61 eV/atom
- Theoretical density: 5.41 g/cm3

```
&SYSTEM
  ibrav = 0, nat = 8, ntyp = 3
/
ATOMIC_SPECIES
Cs 132.91 Cs.upf
Cl 35.45 Cl.upf
Hg 200.59 Hg.upf
ATOMIC_POSITIONS crystal
Cs 0.750 0.250 0.500
Cs 0.000 0.000 0.000
Cl 0.500 0.500 0.000
Cl 0.250 0.750 0.500
Hg 0.163 0.625 0.250
Hg 0.587 0.125 0.250
Hg 0.375 0.413 0.750
Hg 0.875 0.837 0.750
CELL_PARAMETERS angstrom
10.273 0.000 0.000
0.000 10.273 0.000
5.137 5.137 3.315
```

Record 6
## HfHg (PBE)

Data for a relaxed HfHg crystal. Values from VASP.

## Properties
- Density of states at the Fermi level: 0.877 states/eV/atom
- Calculated formation energy: 0.2362 eV/atom
- Space-group type: Fddd (70)
- Total energy: -4.89 eV/atom
- Theoretical density: 13.72 g/cm3

```
&SYSTEM
  ibrav = 0, nat = 32, ntyp = 2
/
ATOMIC_SPECIES
Hf 178.49 Hf.upf
Hg 200.59 Hg.upf
ATOMIC_POSITIONS crystal
Hf 0.250 0.066 0.250
Hf 0.250 0.566 0.750
Hf 0.000 0.184 0.500
Hf 0.500 0.684 0.500
Hf 0.000 0.316 0.000
Hf 0.750 0.066 0.750
Hf 0.750 0.566 0.250
Hf 0.750 0.934 0.250
Hf 0.250 0.934 0.750
Hf 0.500 0.184 0.000
Hf 0.500 0.816 0.000
Hf 0.000 0.684 0.000
Hf 0.250 0.434 0.250
Hf 0.500 0.316 0.500
Hf 0.750 0.434 0.750
Hf 0.000 0.816 0.500
Hg 0.500 0.000 0.683
Hg 0.000 0.000 0.817
Hg 0.000 0.500 0.683
Hg 0.500 0.000 0.317
Hg 0.750 0.250 0.433
Hg 0.250 0.750 0.433
Hg 0.500 0.500 0.183
Hg 0.500 0.500 0.817
Hg 0.250 0.750 0.067
Hg 0.000 0.500 0.317
Hg 0.250 0.250 0.567
Hg 0.750 0.750 0.567
Hg 0.000 0.000 0.183
Hg 0.750 0.250 0.067
Hg 0.750 0.750 0.933
Hg 0.250 0.250 0.933
CELL_PARAMETERS angstrom
11.165 0.000 0.000
0.000 8.643 0.000
0.000 0.000 7.606
```

Record 7
## EuAl3Pb2O8 (PBE)

Data for a relaxed EuAl3Pb2O8 crystal. Values from VASP.

## Properties
- Density of states at the Fermi level: 0.429 states/eV/atom
- Formation energy (no corrections): -2449.7 meV per atom
- Space-group type: Pn-3m (224)
- Total energy: -7.35 eV/atom
- Theoretical density: 5.82 g/cm3

```
&SYSTEM
  ibrav = 0, nat = 56, ntyp = 4
/
ATOMIC_SPECIES
O 16.00 O.upf
Eu 151.96 Eu.upf
Al 26.98 Al.upf
Pb 207.20 Pb.upf
ATOMIC_POSITIONS crystal
O 0.890 0.890 0.890
O 0.012 0.343 0.657
O 0.512 0.157 0.157
O 0.157 0.843 0.488
O 0.343 0.343 0.988
O 0.110 0.110 0.890
O 0.110 0.890 0.110
O 0.157 0.157 0.512
O 0.988 0.343 0.343
O 0.390 0.610 0.390
O 0.157 0.488 0.843
O 0.657 0.012 0.343
O 0.610 0.610 0.610
O 0.657 0.343 0.012
O 0.157 0.512 0.157
O 0.343 0.988 0.343
O 0.843 0.843 0.512
O 0.657 0.657 0.988
O 0.390 0.390 0.610
O 0.343 0.657 0.012
O 0.512 0.843 0.843
O 0.012 0.657 0.343
O 0.657 0.988 0.657
O 0.843 0.488 0.157
O 0.488 0.843 0.157
O 0.843 0.157 0.488
O 0.843 0.512 0.843
O 0.988 0.657 0.657
O 0.610 0.390 0.390
O 0.488 0.157 0.843
O 0.890 0.110 0.110
O 0.343 0.012 0.657
Eu 0.750 0.250 0.250
Eu 0.750 0.750 0.750
Eu 0.250 0.750 0.250
Eu 0.250 0.250 0.750
Al 0.250 0.500 0.000
Al 0.000 0.250 0.500
Al 0.500 0.750 0.000
Al 0.500 0.000 0.250
Al 0.500 0.000 0.750
Al 0.250 0.000 0.500
Al 0.500 0.250 0.000
Al 0.750 0.500 0.000
Al 0.000 0.750 0.500
Al 0.750 0.000 0.500
Al 0.000 0.500 0.250
Al 0.000 0.500 0.750
Pb 0.866 0.866 0.134
Pb 0.634 0.634 0.366
Pb 0.134 0.866 0.866
Pb 0.634 0.366 0.634
Pb 0.366 0.634 0.634
Pb 0.134 0.134 0.134
Pb 0.366 0.366 0.366
Pb 0.866 0.134 0.866
CELL_PARAMETERS angstrom
-1.899 -4.643 -8.188
8.825 2.026 -3.195
3.273 -8.157 3.866
```

Record 8
## GdDyScOs (PBE)

Data for a relaxed GdDyScOs crystal. Values from VASP.

## Properties
- Density of states at the Fermi level: 1.147 states/eV/atom
- Calculated formation energy: 0.0319 eV/atom
- Space-group type: F-43m (216)
- Total energy: -9.03 eV/atom
- Theoretical density: 10.20 g/cm3

```
&SYSTEM
  ibrav = 0, nat = 4, ntyp = 4
/
ATOMIC_SPECIES
Os 190.23 Os.upf
Dy 162.50 Dy.upf
Sc 44.96 Sc.upf
Gd 157.25 Gd.upf
ATOMIC_POSITIONS crystal
Os 0.500 0.500 0.500
Dy 0.250 0.250 0.250
Sc 0.000 0.000 0.000
Gd 0.750 0.750 0.750
CELL_PARAMETERS angstrom
5.037 0.000 0.000
2.518 4.362 0.000
2.518 1.454 4.112
```

Record 9
## Pr5Tm2In (PBE)

Data for a relaxed Pr5Tm2In crystal. Values from VASP.

## Properties
- Density of states at the Fermi level: 1.306 states/eV/atom
- Calculated formation energy: -0.0237 eV/atom
- Space-group type: Immm (71)
- ΔE to the lowest computed polymorph: 42.3 meV per atom
- Total energy: -4.47 eV/atom
- Theoretical density: 7.35 g/cm3

```
&SYSTEM
  ibrav = 0, nat = 8, ntyp = 3
/
ATOMIC_SPECIES
Pr 140.91 Pr.upf
In 114.82 In.upf
Tm 168.93 Tm.upf
ATOMIC_POSITIONS crystal
Pr 0.371 0.134 0.741
Pr 0.000 0.500 0.000
Pr 0.629 0.866 0.259
Pr 0.629 0.393 0.259
Pr 0.371 0.607 0.741
In 0.000 0.000 0.000
Tm 0.730 0.230 0.460
Tm 0.270 0.770 0.540
CELL_PARAMETERS angstrom
-1.177 0.477 -3.251
-9.308 -6.115 2.474
2.160 8.289 2.309
```

Record 10
## Ba2LaW (PBE)

Data for a relaxed Ba2LaW crystal. Values from VASP.

## Properties
- Density of states at the Fermi level: 1.713 states/eV/atom
- Calculated formation energy: 1.1894 eV/atom
- Space-group type: Cmmm (65)
- ΔE to the lowest computed polymorph: 455.5 meV per atom
- Total energy: -4.24 eV/atom
- Theoretical density: 7.60 g/cm3

```
&SYSTEM
  ibrav = 0, nat = 4, ntyp = 3
/
ATOMIC_SPECIES
La 138.91 La.upf
Ba 137.33 Ba.upf
W 183.84 W.upf
ATOMIC_POSITIONS crystal
La 0.500 0.000 0.500
Ba 0.000 0.000 0.000
Ba 0.500 0.500 0.000
W 0.000 0.500 0.500
CELL_PARAMETERS angstrom
6.739 0.040 0.000
-3.458 5.784 0.000
0.000 0.000 3.337
```

Record 11
## ErSiAg2S4 (PBE)

Data for a relaxed ErSiAg2S4 crystal. Values from VASP.

## Properties
- Density of states at the Fermi level: 0.185 states/eV/atom
- Formation energy (no corrections): -674.3 meV per atom
- Space-group type: Imma (74)
- Total energy: -4.70 eV/atom
- Theoretical density: 5.75 g/cm3

```
&SYSTEM
  ibrav = 0, nat = 16, ntyp = 4
/
ATOMIC_SPECIES
Ag 107.87 Ag.upf
S 32.06 S.upf
Er 167.26 Er.upf
Si 28.09 Si.upf
ATOMIC_POSITIONS crystal
Ag 0.500 0.000 0.500
Ag 0.500 0.500 0.000
Ag 0.500 0.000 0.000
Ag 0.000 0.000 0.500
S 0.224 0.777 0.000
S 0.247 0.253 0.471
S 0.277 0.724 0.500
S 0.776 0.223 0.000
S 0.247 0.253 0.029
S 0.753 0.747 0.971
S 0.723 0.276 0.500
S 0.753 0.747 0.529
Er 0.000 0.500 0.000
Er 0.000 0.500 0.500
Si 0.000 0.000 0.000
Si 0.500 0.500 0.500
CELL_PARAMETERS angstrom
-5.383 2.292 4.929
4.894 -1.438 5.702
2.096 4.533 -5.997
```

Record 12
## Rb2FeGe (PBE)

Data for a relaxed Rb2FeGe crystal. Values from VASP.

## Properties
- Density of states at the Fermi level: 1.433 states/eV/atom
- Calculated formation energy: 0.4463 eV/atom
- Space-group type: I-42d (122)
- Total energy: -3.31 eV/atom
- Theoretical density: 2.44 g/cm3

```
&SYSTEM
  ibrav = 0, nat = 8, ntyp = 3
/
ATOMIC_SPECIES
Rb 85.47 Rb.upf
Fe 55.84 Fe.upf
Ge 72.64 Ge.upf
ATOMIC_POSITIONS crystal
Rb 0.414 0.125 0.250
Rb 0.375 0.586 0.750
Rb 0.336 0.625 0.250
Rb 0.875 0.664 0.750
Fe 0.500 0.500 0.000
Fe 0.250 0.750 0.500
Ge 0.000 0.000 0.000
Ge 0.750 0.250 0.500
CELL_PARAMETERS angstrom
13.245 0.000 0.000
0.000 13.245 0.000
6.622 6.622 2.323
```

Record 13
## Ce2PuUAs4 (PBE)

Data for a relaxed Ce2PuUAs4 crystal. Values from VASP.

## Properties
- Density of states at the Fermi level: 3.488 states/eV/atom
- Calculated formation energy: -1.1338 eV/atom
- Space-group type: P2/m (10)
- Total energy: -8.14 eV/atom
- Theoretical density: 8.67 g/cm3

```
&SYSTEM
  ibrav = 0, nat = 8, ntyp = 4
/
ATOMIC_SPECIES
As 74.92 As.upf
Ce 140.12 Ce.upf
U 238.03 U.upf
Pu 244.00 Pu.upf
ATOMIC_POSITIONS crystal
As 0.000 0.256 0.757
As 0.500 0.749 0.757
As 0.000 0.744 0.243
As 0.500 0.251 0.243
Ce 0.000 0.500 0.500
Ce 0.500 0.000 0.500
U 0.500 0.500 0.000
Pu 0.000 0.000 0.000
CELL_PARAMETERS angstrom
-0.596 3.599 1.971
2.120 -3.045 6.200
5.712 2.790 -3.367
```

Record 14
## NaBi2SbSe4 (PBE)

Data for a relaxed NaBi2SbSe4 crystal. Values from VASP.

## Properties
- Density of states at the Fermi level: 0.397 states/eV/atom
- Formation energy (no corrections): -403.3 meV per atom
- Space-group type: P2/m (10)
- Total energy: -3.80 eV/atom
- Theoretical density: 6.56 g/cm3

```
&SYSTEM
  ibrav = 0, nat = 8, ntyp = 4
/
ATOMIC_SPECIES
Bi 208.98 Bi.upf
Se 78.96 Se.upf
Na 22.99 Na.upf
Sb 121.76 Sb.upf
ATOMIC_POSITIONS crystal
Bi 0.500 0.000 0.500
Bi 0.000 0.500 0.500
Se 0.000 0.239 0.747
Se 0.500 0.758 0.752
Se 0.500 0.242 0.248
Se 0.000 0.761 0.253
Na 0.500 0.500 0.000
Sb 0.000 0.000 0.000
CELL_PARAMETERS angstrom
4.453 0.000 0.000
0.000 7.288 0.065
0.000 -2.668 6.829
```

Record 15
## GdMgPdAu (PBE)

Data for a relaxed GdMgPdAu crystal. Values from VASP.

## Properties
- Density of states at the Fermi level: 0.599 states/eV/atom
- Calculated formation energy: -0.7470 eV/atom
- Space-group type: F-43m (216)
- Total energy: -6.78 eV/atom
- Theoretical density: 9.79 g/cm3

```
&SYSTEM
  ibrav = 0, nat = 4, ntyp = 4
/
ATOMIC_SPECIES
Au 196.97 Au.upf
Mg 24.30 Mg.upf
Gd 157.25 Gd.upf
Pd 106.42 Pd.upf
ATOMIC_POSITIONS crystal
Au 0.500 0.500 0.500
Mg 0.750 0.750 0.750
Gd 0.250 0.250 0.250
Pd 0.000 0.000 0.000
CELL_PARAMETERS angstrom
4.881 0.000 0.000
2.441 4.227 0.000
2.441 1.409 3.986
```

Record 16
## InHgI3 (PBE)

Data for a relaxed InHgI3 crystal. Values from VASP.

## Properties
- Formation energy (no corrections): -348.1 meV per atom
- Space-group type: P2_1/m (11)
- ΔE to the lowest computed polymorph: 0.0 meV per atom
- Total energy: -1.89 eV/atom
- Theoretical density: 4.86 g/cm3

```
&SYSTEM
  ibrav = 0, nat = 10, ntyp = 3
/
ATOMIC_SPECIES
I 126.90 I.upf
Hg 200.59 Hg.upf
In 114.82 In.upf
ATOMIC_POSITIONS crystal
I 0.257 0.525 0.169
I 0.257 0.975 0.169
I 0.743 0.025 0.831
I 0.249 0.750 0.553
I 0.751 0.250 0.447
I 0.743 0.475 0.831
Hg 0.255 0.250 0.289
Hg 0.745 0.750 0.711
In 0.248 0.250 0.691
In 0.752 0.750 0.309
CELL_PARAMETERS angstrom
4.504 0.000 -0.712
0.000 8.719 0.000
1.958 0.000 11.793
```

Record 17
## Nd4S6Br (PBE)

Data for a relaxed Nd4S6Br crystal. Values from VASP.

## Properties
- Density of states at the Fermi level: 0.674 states/eV/atom
- Formation energy (no corrections): -1785.3 meV per atom
- Space-group type: P-6m2 (187)
- Total energy: -5.92 eV/atom
- Theoretical density: 5.36 g/cm3

```
&SYSTEM
  ibrav = 0, nat = 11, ntyp = 3
/
ATOMIC_SPECIES
Nd 144.24 Nd.upf
S 32.06 S.upf
Br 79.90 Br.upf
ATOMIC_POSITIONS crystal
Nd 0.500 0.354 0.177
Nd 0.500 0.823 0.177
Nd 0.500 0.823 0.646
Nd 0.000 0.333 0.667
S 0.000 0.543 0.457
S 0.500 0.611 0.806
S 0.000 0.543 0.086
S 0.500 0.194 0.389
S 0.000 0.914 0.457
S 0.500 0.194 0.806
Br 0.000 0.000 0.000
CELL_PARAMETERS angstrom
4.030 0.000 0.000
0.000 8.685 0.000
0.000 -4.343 7.521
```

Record 18
## Ga2CuSb2 (PBE)

Data for a relaxed Ga2CuSb2 crystal. Values from VASP.

## Properties
- Density of states at the Fermi level: 0.568 states/eV/atom
- Formation energy (no corrections): 242.8 meV per atom
- Space-group type: I4/mmm (139)
- ΔE to the lowest computed polymorph: 49.4 meV per atom
- Total energy: -3.44 eV/atom
- Theoretical density: 6.68 g/cm3

```
&SYSTEM
  ibrav = 0, nat = 5, ntyp = 3
/
ATOMIC_SPECIES
Cu 63.55 Cu.upf
Ga 69.72 Ga.upf
Sb 121.76 Sb.upf
ATOMIC_POSITIONS crystal
Cu 0.000 0.000 0.000
Ga 0.750 0.250 0.500
Ga 0.250 0.750 0.500
Sb 0.412 0.412 0.176
Sb 0.588 0.588 0.824
CELL_PARAMETERS angstrom
3.651 0.000 0.000
0.000 3.651 0.000
1.825 1.825 8.330
```

Record 19
## Ce2YSi2Pd2 (PBE)

Data for a relaxed Ce2YSi2Pd2 crystal. Values from VASP.

## Properties
- Density of states at the Fermi level: 1.175 states/eV/atom
- Formation energy (no corrections): -800.9 meV per atom
- Space-group type: R-3m (166)
- Total energy: -6.45 eV/atom
- Theoretical density: 7.42 g/cm3

```
&SYSTEM
  ibrav = 0, nat = 7, ntyp = 4
/
ATOMIC_SPECIES
Pd 106.42 Pd.upf
Ce 140.12 Ce.upf
Y 88.91 Y.upf
Si 28.09 Si.upf
ATOMIC_POSITIONS crystal
Pd 0.597 0.597 0.209
Pd 0.403 0.403 0.791
Ce 0.139 0.139 0.584
Ce 0.861 0.861 0.416
Y 0.000 0.000 0.000
Si 0.260 0.260 0.219
Si 0.740 0.740 0.781
CELL_PARAMETERS angstrom
4.294 0.000 0.000
2.147 3.719 0.000
2.147 1.240 8.946
```

Record 20
## Zr2TlGaSi (PBE)

Data for a relaxed Zr2TlGaSi crystal. Values from VASP.

## Properties
- Density of states at the Fermi level: 0.922 states/eV/atom
- Formation energy (no corrections): 187.2 meV per atom
- Space-group type: P4/mmm (123)
- Total energy: -5.40 eV/atom
- Theoretical density: 6.84 g/cm3

```
&SYSTEM
  ibrav = 0, nat = 5, ntyp = 4
/
ATOMIC_SPECIES
Si 28.09 Si.upf
Ga 69.72 Ga.upf
Zr 91.22 Zr.upf
Tl 204.38 Tl.upf
ATOMIC_POSITIONS crystal
Si 0.000 0.000 0.000
Ga 0.000 0.500 0.000
Zr 0.500 0.000 0.000
Zr 0.000 0.000 0.500
Tl 0.500 0.500 0.500
CELL_PARAMETERS angstrom
5.051 0.000 0.000
0.000 4.613 0.000
0.000 0.000 5.051
```